No. 1
Computed, not measured: ZrGe2Au after structural relaxation at the PBE level of DFT.

* E_tot: -5.327 eV per atom
* volume: 77.9 Å³/f.u.

Cell: 4.7948 4.7948 4.7948 Å, 60.00 60.00 60.00°
Sites, in units of the cell vectors:
1 Ge 0.0000 0.0000 0.0000
2 Ge 0.2500 0.2500 0.2500
3 Zr 0.7500 0.7500 0.7500
4 Au 0.5000 0.5000 0.5000

***

No. 2
Computed, not measured: Zr3Ge4Au4 after structural relaxation at the PBE level of DFT.

* E_tot: -5.646 eV per atom
* volume: 216.5 Å³/f.u.

Cell: 6.6641 4.0839 7.9551 Å, 90.00 90.00 90.00°
Sites, in units of the cell vectors:
1 Zr 0.4643 0.7500 0.3132
2 Zr 0.9695 0.7500 0.1931
3 Au 0.3509 0.7500 0.9330
4 Ge 0.2542 0.7500 0.6250
5 Ge 0.2370 0.2500 0.1196
6 Au 0.8473 0.7500 0.5730
7 Zr 0.5350 0.2500 0.6855
8 Ge 0.7977 0.7500 0.8865
9 Au 0.1516 0.2500 0.4486
10 Au 0.6462 0.2500 0.0501
11 Ge 0.7443 0.2500 0.3695

***

No. 3
Computed, not measured: H2Au after structural relaxation at the PBE level of DFT.

* E_tot: -2.183 eV per atom
* volume: 28.1 Å³/f.u.

Cell: 4.3015 4.3015 4.3015 Å, 60.00 60.00 60.00°
Sites, in units of the cell vectors:
1 H 0.1250 0.6250 0.6250
2 H 0.6250 0.6250 0.6250
3 Au 0.0000 0.0000 0.0000
4 H 0.6250 0.6250 0.1250
5 H 0.6250 0.1250 0.6250
6 Au 0.2500 0.2500 0.2500

***

No. 4
Computed, not measured: H3Au after structural relaxation at the PBE level of DFT.

* E_tot: -2.744 eV per atom
* volume: 32.3 Å³/f.u.

Cell: 6.0742 6.0742 6.0676 Å, 90.00 90.00 120.00°
Sites, in units of the cell vectors:
1 H 0.0000 0.7873 0.4999
2 H 0.2127 0.0000 0.9999
3 Au 0.0000 0.6576 0.2462
4 Au 0.0000 0.3424 0.7462
5 H 0.6667 0.3333 0.7330
6 Au 0.3424 0.3424 0.2462
7 H 0.0000 0.0000 0.2353
8 H 0.0000 0.0000 0.7353
9 H 0.5324 0.0000 0.9845
10 H 0.6667 0.3333 0.2330
11 H 0.7873 0.7873 0.9999
12 Au 0.6576 0.6576 0.7462
13 H 0.3333 0.6667 0.7330
14 H 0.2127 0.2127 0.4999
15 H 0.3333 0.6667 0.2330
16 Au 0.6576 0.0000 0.2462
17 H 0.0000 0.5324 0.9845
18 H 0.4676 0.4676 0.9845
19 H 0.0000 0.2127 0.9999
20 H 0.7873 0.0000 0.4999
21 H 0.5324 0.5324 0.4845
22 H 0.4676 0.0000 0.4845
23 H 0.0000 0.4676 0.4845
24 Au 0.3424 0.0000 0.7462